# 1
Entry from Alexandria via LeMat-Bulk: La4Hg3Pd after structural relaxation (PBE-GGA).

Unit cell a=3.850 b=3.850 c=15.429 alpha=90.00 beta=90.00 gamma=90.00
Each line ends with the local moment (μB).
Positions (direct):
Hg 0.500 0.500 0.244  0.00
Hg 0.500 0.500 0.756  0.00
Hg 0.500 0.500 0.500  0.00
La 0.000 0.000 0.630  0.07
La 0.000 0.000 0.110  0.00
La 0.000 0.000 0.890  0.00
La 0.000 0.000 0.370  0.07
Pd 0.500 0.500 0.000  0.00

## Properties
Total moment, μB per formula unit: 0.3
ΔH_f (0 K), eV per formula unit: -4.50

---

# 2
Entry from Alexandria via LeMat-Bulk: Cs2CdHg2 after structural relaxation (PBE-GGA).

Unit cell a=7.375 b=7.375 c=6.956 alpha=57.98 beta=57.98 gamma=90.00
Positions (direct):
Cs 0.750 0.250 0.500
Cs 0.250 0.750 0.500
Hg 0.336 0.336 0.327
Hg 0.664 0.664 0.673
Cd 0.000 0.000 0.000

## Properties
Total moment, μB per formula unit: 0.0
Relative energy among the computed polymorphs, kJ/mol of formula units: 38.1
ΔH_f (0 K), eV per formula unit: -0.59

---

# 3
Entry from Alexandria via LeMat-Bulk: Ho6Te5C after structural relaxation (PBE-GGA).

Unit cell a=7.253 b=7.411 c=7.366 alpha=59.80 beta=80.39 gamma=70.62
Positions (direct):
Te 0.500 0.819 0.362
Te 0.500 0.500 0.000
Te 0.000 0.336 0.327
Te 0.500 0.181 0.638
Te 0.000 0.664 0.673
C 0.000 0.000 0.000
Ho 0.790 0.347 0.721
Ho 0.225 0.202 0.000
Ho 0.210 0.932 0.721
Ho 0.775 0.798 0.000
Ho 0.790 0.068 0.279
Ho 0.210 0.653 0.279

## Properties
Total moment, μB per formula unit: 0.0
ΔE_f (raw), eV/atom: -1.17

---

# 4
Entry from Alexandria via LeMat-Bulk: BaNa3Hg4I12 after structural relaxation (PBE-GGA).

Unit cell a=10.419 b=10.419 c=10.419 alpha=105.21 beta=105.21 gamma=105.21
Positions (direct):
I 0.671 0.500 0.329
I 0.886 0.500 0.114
I 0.114 0.886 0.500
I 0.787 0.039 0.685
I 0.315 0.961 0.213
I 0.329 0.671 0.500
I 0.039 0.685 0.787
I 0.500 0.329 0.671
I 0.500 0.114 0.886
I 0.213 0.315 0.961
I 0.685 0.787 0.039
I 0.961 0.213 0.315
Na 0.549 0.451 0.000
Na 0.000 0.549 0.451
Na 0.451 0.000 0.549
Hg 0.054 0.500 0.946
Hg 0.946 0.054 0.500
Hg 0.500 0.946 0.054
Hg 0.500 0.500 0.500
Ba 0.000 0.000 0.000

## Properties
Total moment, μB per formula unit: 0.0
ΔE_f (raw), eV/atom: -0.70

---

# 5
Entry from Alexandria via LeMat-Bulk: Ac2DySb4Rh3 after structural relaxation (PBE-GGA).

Unit cell a=4.624 b=4.624 c=11.686 alpha=90.00 beta=90.00 gamma=90.00
Positions (direct):
Rh 0.500 0.000 0.887
Rh 0.000 0.500 0.113
Rh 0.000 0.000 0.500
Sb 0.000 0.500 0.343
Sb 0.500 0.000 0.657
Sb 0.000 0.000 0.000
Sb 0.500 0.500 0.000
Ac 0.500 0.000 0.229
Ac 0.000 0.500 0.771
Dy 0.500 0.500 0.500

## Properties
Total moment, μB per formula unit: 0.0
ΔE_f (raw), eV/atom: -0.86

---

# 6
Entry from Alexandria via LeMat-Bulk: Pm2HoSe3 after structural relaxation (PBE-GGA).

Unit cell a=4.079 b=4.079 c=21.138 alpha=90.00 beta=90.00 gamma=120.00
Positions (direct):
Pm 0.333 0.667 0.917
Pm 0.667 0.333 0.083
Pm 0.667 0.333 0.417
Pm 0.333 0.667 0.583
Se 0.667 0.333 0.669
Se 0.667 0.333 0.831
Se 0.333 0.667 0.169
Se 0.000 0.000 0.500
Se 0.333 0.667 0.331
Se 0.000 0.000 0.000
Ho 0.000 0.000 0.750
Ho 0.000 0.000 0.250

## Properties
Total moment, μB per formula unit: 0.0
Relative energy among the computed polymorphs, kJ/mol of formula units: 11.6
ΔE_f (raw), eV/atom: -1.77